[1]
A plane-wave DFT calculation with SCAN was carried out for AlSiPt2 at its PBEsol-relaxed geometry.

a b c (Å): 3.696 3.696 4.894
angles (deg): 112.19 112.19 90.00
Positions (direct):
Si (0.500, 0.500, 0.000)
Al (0.250, 0.750, 0.500)
Pt (0.000, 0.000, 0.000)
Pt (0.750, 0.250, 0.500)

Results
Its total magnetic moment is 0.000 μB/f.u. As for the formation energy from raw total energies: -722 meV/atom.

=====

[2]
A plane-wave DFT calculation with SCAN was carried out for BeAlW2 at its PBEsol-relaxed geometry.

a b c (Å): 2.655 3.966 5.294
angles (deg): 90.00 90.00 90.00
Positions (direct):
Be (0.500, 0.500, 0.500)
Al (0.500, 0.500, 0.000)
W (0.000, 0.000, 0.743)
W (0.000, 0.000, 0.257)

Results
For the formation energy, the calculation gives 18.2 kJ per mole of atoms. Its total magnetic moment is 0.000 μB/f.u.

=====

[3]
A plane-wave DFT calculation with SCAN was carried out for TcAgRu2 at its PBEsol-relaxed geometry.

a b c (Å): 3.865 3.865 4.662
angles (deg): 114.49 114.49 90.00
Positions (direct):
Ag (0.000, 0.000, 0.000)
Ru (0.750, 0.250, 0.500)
Ru (0.250, 0.750, 0.500)
Tc (0.500, 0.500, 0.000)

Results
For the formation energy, the calculation gives 47.7 kJ per mole of atoms. Its total magnetic moment is 0.000 μB/f.u. For the energy above the lowest structure with this stoichiometry, the calculation gives 0.000 eV/atom.

=====

[4]
A plane-wave DFT calculation with SCAN was carried out for CsTl3P at its PBEsol-relaxed geometry.

a b c (Å): 6.147 6.147 6.147
angles (deg): 90.00 90.00 90.00
Site moments in Bohr magnetons follow the coordinates.
Positions (direct):
Cs (0.000, 0.000, 0.000)  -0.09
P (0.500, 0.500, 0.500)  0.58
Tl (0.000, 0.500, 0.000)  -0.12
Tl (0.000, 0.000, 0.500)  -0.12
Tl (0.500, 0.000, 0.000)  -0.12

Results
For the formation energy, the calculation gives 127.3 kJ per mole of atoms. Its total magnetic moment is 0.178 μB/f.u. For the energy above the lowest structure with this stoichiometry, the calculation gives 1.136 eV/atom.

=====

[5]
A plane-wave DFT calculation with SCAN was carried out for Cs2CaWO at its PBEsol-relaxed geometry.

a b c (Å): 3.818 7.577 7.577
angles (deg): 90.00 90.00 90.00
Site moments in Bohr magnetons follow the coordinates.
Positions (direct):
Cs (0.000, 0.000, 0.500)  -0.01
Cs (0.000, 0.500, 0.000)  -0.01
Ca (0.500, 0.500, 0.500)  -0.04
O (0.500, 0.000, 0.000)  -0.13
W (0.000, 0.000, 0.000)  1.82

Results
Its total magnetic moment is 1.769 μB/f.u. As for the formation energy from raw total energies: 350 meV/atom.

=====

[6]
A plane-wave DFT calculation with SCAN was carried out for RbRuSeBr2 at its PBEsol-relaxed geometry.

a b c (Å): 5.866 5.986 5.986
angles (deg): 90.00 90.00 90.00
Site moments in Bohr magnetons follow the coordinates.
Positions (direct):
Ru (0.500, 0.500, 0.500)  2.90
Se (0.500, 0.000, 0.000)  0.91
Br (0.000, 0.000, 0.500)  0.11
Br (0.000, 0.500, 0.000)  0.11
Rb (0.000, 0.000, 0.000)  0.05

Results
Its total magnetic moment is 5.016 μB/f.u. As for the formation energy from raw total energies: 976 meV/atom.

=====

[7]
A plane-wave DFT calculation with SCAN was carried out for LaNiRu2 at its PBEsol-relaxed geometry.

a b c (Å): 4.101 4.101 4.781
angles (deg): 115.39 115.39 90.00
Positions (direct):
La (0.500, 0.500, 0.000)
Ni (0.250, 0.750, 0.500)
Ru (0.000, 0.000, 0.000)
Ru (0.750, 0.250, 0.500)

Results
For the formation energy, the calculation gives 33.3 kJ per mole of atoms. Its total magnetic moment is 0.000 μB/f.u.

=====

[8]
A plane-wave DFT calculation with SCAN was carried out for Zn2NiTe at its PBEsol-relaxed geometry.

a b c (Å): 4.542 4.542 4.542
angles (deg): 60.00 60.00 60.00
Positions (direct):
Ni (0.000, 0.000, 0.000)
Te (0.500, 0.500, 0.500)
Zn (0.250, 0.250, 0.250)
Zn (0.750, 0.750, 0.750)

Results
Its total magnetic moment is 0.000 μB/f.u. For the energy above the lowest structure with this stoichiometry, the calculation gives 0.447 eV/atom. As for the formation energy from raw total energies: 426 meV/atom.